DFT (GGA-PBE) results for a relaxed structure of Sc2CrW.

Raw total energy, eV/atom: -8.5172

Cell lengths 2.888, 2.888, 9.320 Å; angles 90.00, 90.00, 110.99 degrees
Fractional coordinates of all 4 atoms:
Cr: 0.500 0.500 0.730
Sc: 0.500 0.500 0.279
Sc: 0.000 0.000 0.960
W: 0.000 0.000 0.532

---

DFT (GGA-PBE) results for a relaxed structure of ScCrW2.

Raw total energy, eV/atom: -10.2061

Cell lengths 4.460, 2.768, 5.263 Å; angles 79.68, 90.00, 90.00 degrees
Fractional coordinates of all 4 atoms:
W: 0.000 0.028 0.008
W: 0.000 0.472 0.492
Sc: 0.500 0.750 0.750
Cr: 0.500 0.250 0.250

---

DFT (GGA-PBE) results for a relaxed structure of Sc2CrW.

Raw total energy, eV/atom: -8.1149

Cell lengths 10.049, 10.049, 10.049 Å; angles 16.83, 16.83, 16.83 degrees
Fractional coordinates of all 4 atoms:
Sc: 0.092 0.092 0.092
Sc: 0.908 0.908 0.908
Cr: 0.500 0.500 0.500
W: 0.000 0.000 0.000

---

Energy above the most stable polymorph in this dataset, record by record: 168.5 88.8 570.9 meV/atom
Energy of formation, record by record: 0.293 0.259 0.695 eV per atom